[1]
## Pr12TmPb3 (PBE-GGA)

Data for Pr12TmPb3 after structural relaxation.

Computed properties:
ΔE_f: -0.244 eV per atom

extended XYZ file:
```
16
Lattice="-2.9635 -3.7266 1.6781 1.9076 -3.0944 -3.5030 14.6896 -5.7802 13.1055" Properties=species:S:1:pos:R:3 pbc="T T T"
Pb 10.9535 -4.3101 9.7723
Pb 3.7361 -1.4701 3.3332
Pb 7.3448 -2.8901 6.5527
Pr 2.8591 -2.2969 -0.0517
Pr 10.0971 -5.1450 6.4057
Pr 6.5002 -3.7297 3.1967
Pr 13.7381 -6.5777 9.6541
Pr 4.0646 -4.0457 5.7873
Pr 10.4245 -7.7202 8.8588
Pr 3.2092 -4.8811 2.4217
Pr 0.4235 -2.6130 2.5389
Pr 7.6615 -5.4611 8.9963
Pr 11.3025 -6.8938 12.2447
Pr -0.5279 -3.4105 -0.9125
Pr 6.8169 -6.3006 5.6403
Tm 0.0000 0.0000 0.0000
```

=====

[2]
## RbCrSn3 (PBE-GGA)

Data for RbCrSn3 after structural relaxation.

Computed properties:
Relative energy among the computed polymorphs: 10.386 eV/f.u.
ΔE_f: 2.177 eV per atom

extended XYZ file:
```
5
Lattice="-2.3688 5.4218 -0.1799 -2.6156 -0.9696 5.2209 4.7526 2.1687 2.7837" Properties=species:S:1:pos:R:3 pbc="T T T"
Sn 2.3763 1.0844 1.3919
Sn -1.1844 2.7109 -0.0899
Sn -1.3078 -0.4848 2.6105
Cr -0.1159 3.3105 3.9124
Rb 0.0000 0.0000 0.0000
```

=====

[3]
## SrSb2 (PBE-GGA)

Data for SrSb2 after structural relaxation.

Computed properties:
Formation energy from raw total energies: -487 meV/atom

extended XYZ file:
```
3
Lattice="6.3253 0.1851 0.0000 3.3663 5.3583 0.0000 -4.8458 -2.7717 2.9798" Properties=species:S:1:pos:R:3 pbc="T T T"
Sb 2.8614 1.6367 0.0000
Sb 6.8301 3.9068 0.0000
Sr 0.0000 0.0000 0.0000
```

=====

[4]
## SmDy2Sn9 (PBE-GGA)

Data for SmDy2Sn9 after structural relaxation.

Computed properties:
ΔE_f: -0.439 eV per atom

extended XYZ file:
```
12
Lattice="-2.0566 1.4184 3.9827 -4.0069 -2.0667 -1.3331 4.1146 -12.1359 6.4468" Properties=species:S:1:pos:R:3 pbc="T T T"
Sn -3.0318 -0.3241 1.3248
Sn -0.3325 -1.3432 3.0816
Sn 0.0538 -7.1013 2.5568
Sn 2.3904 -9.3744 7.3479
Sn -1.3076 -3.0857 0.4237
Sn -1.6542 -4.3874 3.4832
Sn 1.4153 -11.1169 4.6900
Sn -0.2948 -8.3969 5.6131
Sn 1.0290 -5.3588 5.2148
Sm 0.0000 0.0000 0.0000
Dy 2.7422 -8.0882 4.2966
Dy 1.3724 -4.0478 2.1502
```

=====

[5]
## InAsF2 (PBE-GGA)

Data for InAsF2 after structural relaxation.

Computed properties:
Relative energy among the computed polymorphs: 2.103 eV/f.u.
Formation energy from raw total energies: -746 meV/atom

extended XYZ file:
```
4
Lattice="0.0000 3.1867 3.1867 3.1867 0.0000 3.1867 3.1867 3.1867 0.0000" Properties=species:S:1:pos:R:3 pbc="T T T"
As 0.0000 0.0000 0.0000
F 4.7800 4.7800 4.7800
F 1.5933 1.5933 1.5933
In 3.1867 3.1867 3.1867
```

=====

[6]
## CuOsPb2I (PBE-GGA)

Data for CuOsPb2I after structural relaxation.

Computed properties:
Formation energy from raw total energies: 1734 meV/atom

extended XYZ file:
```
5
Lattice="6.0674 0.0000 0.0000 0.0000 4.7945 0.0000 0.0000 0.0000 6.0674" Properties=species:S:1:pos:R:3 pbc="T T T"
Pb 3.0337 0.0000 0.0000
Pb 0.0000 0.0000 3.0337
Cu 3.0337 2.3972 3.0337
Os 0.0000 2.3972 0.0000
I 0.0000 0.0000 0.0000
```

=====

[7]
## LuPt2Au (PBE-GGA)

Data for LuPt2Au after structural relaxation.

Computed properties:
ΔE_f: -0.790 eV per atom

extended XYZ file:
```
4
Lattice="-0.7889 4.3574 -1.5332 -2.9218 0.7274 -3.5908 -4.1605 2.0263 0.7380" Properties=species:S:1:pos:R:3 pbc="T T T"
Au -3.9356 3.5556 -2.1930
Pt -1.9678 1.7778 -1.0965
Pt -5.9034 5.3334 -3.2895
Lu 0.0000 0.0000 0.0000
```

=====

[8]
## Sm2MnAs3Rh4 (PBE-GGA)

Data for Sm2MnAs3Rh4 after structural relaxation.

Computed properties:
ΔE_f: -0.830 eV per atom

extended XYZ file:
```
10
Lattice="4.1470 0.0000 0.0000 0.0000 4.1470 0.0000 0.0000 0.0000 10.4829" Properties=species:S:1:pos:R:3 pbc="T T T"
Rh 0.0000 2.0735 3.8351
Rh 0.0000 0.0000 0.0000
Rh 2.0735 0.0000 6.6477
Rh 2.0735 2.0735 0.0000
As 0.0000 0.0000 5.2414
As 0.0000 2.0735 1.4364
As 2.0735 0.0000 9.0464
Mn 2.0735 2.0735 5.2414
Sm 0.0000 2.0735 7.8625
Sm 2.0735 0.0000 2.6204
```

=====

Number 6 is which compound? CuOsPb2I